Record 1
First-principles (GGA-PBE) data for a relaxed structure of SmThCuAu, as listed in the Alexandria database.

Properties
DOS(E_F) ... 1.039 states/eV per atom
E_tot ... -83.88 eV for the cell shown
Energy of formation ... -0.3642 eV per atom
Space-group type ... F-43m (216)

Geometry as POSCAR:
```
SmThCuAu
1.0
7.290 0.000 0.000
0.000 7.290 0.000
0.000 0.000 7.290
Sm Th Cu Au
4 4 4 4
Direct
0.000 0.000 0.000
0.000 0.500 0.500
0.500 0.000 0.500
0.500 0.500 0.000
0.000 0.000 0.500
0.000 0.500 0.000
0.500 0.000 0.000
0.500 0.500 0.500
0.250 0.250 0.750
0.250 0.750 0.250
0.750 0.250 0.250
0.750 0.750 0.750
0.250 0.250 0.250
0.250 0.750 0.750
0.750 0.250 0.750
0.750 0.750 0.250
```

Record 2
First-principles (GGA-PBE) data for a relaxed structure of SrAg6F12, as listed in the Alexandria database.

Properties
DOS(E_F) ... 0.546 states/eV per atom
E_tot ... -66.26 eV for the cell shown
Space-group type ... Im-3 (204)
ΔE_f (raw) ... -1.32 eV per atom

Geometry as POSCAR:
```
SrAg6F12
1.0
-4.230 4.230 4.230
4.230 -4.230 4.230
4.230 4.230 -4.230
Sr Ag F
1 6 12
Direct
0.000 0.000 0.000
0.168 0.500 0.668
0.332 0.832 0.500
0.500 0.332 0.832
0.500 0.668 0.168
0.668 0.168 0.500
0.832 0.500 0.332
0.152 0.468 0.316
0.152 0.836 0.684
0.164 0.316 0.848
0.316 0.152 0.468
0.316 0.848 0.164
0.468 0.316 0.152
0.532 0.684 0.848
0.684 0.152 0.836
0.684 0.848 0.532
0.836 0.684 0.152
0.848 0.164 0.316
0.848 0.532 0.684
```